# 1
Tl3SnN | PBEsol | optimized geometry

VASP energy ... -17.73 eV per cell

a b c (Å): 4.895 4.895 4.895
angles (deg): 90.00 90.00 90.00
Sites, in units of the cell vectors:
Tl (0.500, 0.000, 0.000)
Tl (0.000, 0.500, 0.000)
Tl (0.000, 0.000, 0.500)
Sn (0.500, 0.500, 0.500)
N (0.000, 0.000, 0.000)

# 2
ZrMo2Se | PBEsol | optimized geometry

VASP energy ... -36.46 eV per cell

a b c (Å): 2.997 2.997 8.317
angles (deg): 90.00 90.00 112.16
Sites, in units of the cell vectors:
Se (0.000, 0.000, 0.506)
Mo (0.500, 0.500, 0.756)
Mo (0.000, 0.000, 0.985)
Zr (0.500, 0.500, 0.253)

# 3
Li2CuAg | PBEsol | optimized geometry

Formation enthalpy at 0 K ... -58 meV/atom

a b c (Å): 3.885 3.634 3.885
angles (deg): 90.00 90.00 90.00
Sites, in units of the cell vectors:
Cu (0.000, 0.500, 0.500)
Li (0.000, 0.000, 0.000)
Li (0.500, 0.000, 0.500)
Ag (0.500, 0.500, 0.000)

# 4
RbTiTl3 | PBEsol | optimized geometry

Formation enthalpy at 0 K ... 172 meV/atom

a b c (Å): 5.450 5.450 5.450
angles (deg): 90.00 90.00 90.00
Sites, in units of the cell vectors:
Tl (0.500, 0.000, 0.000)
Tl (0.000, 0.500, 0.000)
Tl (0.000, 0.000, 0.500)
Ti (0.000, 0.000, 0.000)
Rb (0.500, 0.500, 0.500)

# 5
LaCrSb3 | PBEsol | optimized geometry

VASP energy ... -127.34 eV per cell

a b c (Å): 6.011 6.182 13.165
angles (deg): 90.00 90.00 90.00
Sites, in units of the cell vectors:
Sb (0.250, 0.100, 0.061)
Sb (0.750, 0.400, 0.061)
Sb (0.500, 0.750, 0.499)
Sb (0.750, 0.500, 0.787)
Sb (0.500, 0.250, 0.501)
Sb (0.250, 0.000, 0.787)
Sb (0.750, 0.900, 0.939)
Sb (0.750, 0.000, 0.213)
Sb (0.000, 0.750, 0.499)
Sb (0.000, 0.250, 0.501)
Sb (0.250, 0.600, 0.939)
Sb (0.250, 0.500, 0.213)
La (0.750, 0.498, 0.307)
La (0.250, 0.002, 0.307)
La (0.750, 0.998, 0.693)
La (0.250, 0.502, 0.693)
Cr (0.000, 0.750, 0.091)
Cr (0.500, 0.250, 0.909)
Cr (0.000, 0.250, 0.909)
Cr (0.500, 0.750, 0.091)

# 6
Sr3AsIr | PBEsol | optimized geometry

Formation enthalpy at 0 K ... 206 meV/atom

a b c (Å): 5.675 5.675 5.675
angles (deg): 90.00 90.00 90.00
Sites, in units of the cell vectors:
Sr (0.000, 0.000, 0.500)
Sr (0.500, 0.000, 0.000)
Sr (0.000, 0.500, 0.000)
Ir (0.500, 0.500, 0.500)
As (0.000, 0.000, 0.000)

# 7
ScIr3 | PBEsol | optimized geometry

Formation enthalpy at 0 K ... -542 meV/atom

a b c (Å): 5.199 5.292 8.870
angles (deg): 90.00 90.00 90.00
Sites, in units of the cell vectors:
Sc (0.428, 0.419, 0.250)
Sc (0.072, 0.919, 0.750)
Sc (0.572, 0.581, 0.750)
Sc (0.928, 0.081, 0.250)
Ir (0.905, 0.581, 0.250)
Ir (0.095, 0.419, 0.750)
Ir (0.595, 0.081, 0.750)
Ir (0.188, 0.672, 0.012)
Ir (0.688, 0.828, 0.488)
Ir (0.312, 0.172, 0.512)
Ir (0.405, 0.919, 0.250)
Ir (0.812, 0.328, 0.988)
Ir (0.688, 0.828, 0.012)
Ir (0.188, 0.672, 0.488)
Ir (0.812, 0.328, 0.512)
Ir (0.312, 0.172, 0.988)

# 8
LiIr2F | PBEsol | optimized geometry

VASP energy ... -20.94 eV per cell

a b c (Å): 4.062 4.062 4.062
angles (deg): 60.00 60.00 60.00
Sites, in units of the cell vectors:
Li (0.000, 0.000, 0.000)
Ir (0.750, 0.750, 0.750)
Ir (0.250, 0.250, 0.250)
F (0.500, 0.500, 0.500)

# 9
BaNiSe2 | PBEsol | optimized geometry

VASP energy ... -17.44 eV per cell

a b c (Å): 5.084 5.084 5.084
angles (deg): 60.00 60.00 60.00
Sites, in units of the cell vectors:
Ba (0.500, 0.500, 0.500)
Se (0.250, 0.250, 0.250)
Se (0.750, 0.750, 0.750)
Ni (0.000, 0.000, 0.000)

# 10
AlAg3 | PBEsol | optimized geometry

Formation enthalpy at 0 K ... -7 meV/atom

a b c (Å): 2.842 2.842 9.175
angles (deg): 90.00 90.00 117.40
Sites, in units of the cell vectors:
Ag (0.500, 0.500, 0.000)
Ag (0.000, 0.000, 0.260)
Ag (0.000, 0.000, 0.740)
Al (0.500, 0.500, 0.500)

# 11
TiTc3W | PBEsol | optimized geometry

Formation enthalpy at 0 K ... 1492 meV/atom

a b c (Å): 4.364 4.364 4.364
angles (deg): 90.00 90.00 90.00
Sites, in units of the cell vectors:
W (0.500, 0.500, 0.500)
Tc (0.000, 0.500, 0.000)
Tc (0.500, 0.000, 0.000)
Tc (0.000, 0.000, 0.500)
Ti (0.000, 0.000, 0.000)

# 12
Hf2Ga2Pd | PBEsol | optimized geometry

Formation enthalpy at 0 K ... -689 meV/atom

a b c (Å): 4.085 6.464 6.464
angles (deg): 90.00 90.00 90.00
Sites, in units of the cell vectors:
Ga (0.000, 0.136, 0.364)
Ga (0.000, 0.364, 0.864)
Ga (0.000, 0.636, 0.136)
Ga (0.000, 0.864, 0.636)
Pd (0.000, 0.500, 0.500)
Pd (0.000, 0.000, 0.000)
Hf (0.500, 0.330, 0.170)
Hf (0.500, 0.170, 0.670)
Hf (0.500, 0.670, 0.830)
Hf (0.500, 0.830, 0.330)

| no. | magnetic moment (Bohr magnetons per cell) |
| --- | --- |
| 1 | 0.00 |
| 2 | 0.00 |
| 3 | 0.00 |
| 4 | 1.39 |
| 5 | 8.03 |
| 6 | 0.22 |
| 7 | 0.00 |
| 8 | 1.31 |
| 9 | 1.80 |
| 10 | 0.00 |
| 11 | 0.00 |
| 12 | 0.00 |